(1)
20
Lattice="-4.4466 4.9835 1.9950 -4.2574 -0.3180 -8.6946 -7.6129 -7.6990 4.0093" Properties=species:S:1:pos:R:3 comment="Ac6Tl3Zn (PBE, relaxed)" sg="P2_1/c, No. 14" de_polymorph_ev_per_fu=0.66 n_ef_per_ev_atom=1.38 delta_e_f_ev_per_atom=-0.155 pbc="T T T"
Ac -10.6448 -4.1201 3.5573
Ac -7.8136 -1.3575 1.8404
Ac -6.6599 1.1246 -1.3509
Ac -9.6569 -4.1581 -1.3394
Ac -8.5033 -1.6760 -4.5307
Ac -5.6721 1.0866 -6.2476
Ac -5.3189 -2.8149 -0.8824
Ac -2.3066 -0.0388 -2.2294
Ac -6.7651 -5.1063 2.6747
Ac -9.5518 2.0728 -5.3650
Ac -14.0102 -2.9947 -0.4609
Ac -10.9980 -0.2186 -1.8079
Tl -12.0810 -3.0573 -3.6129
Tl -4.3520 2.3328 -3.3498
Tl -4.2359 0.0238 0.9226
Tl -4.8305 -1.6083 -4.1220
Tl -3.8064 -3.8495 2.0046
Tl -11.4863 -1.4251 1.4317
Zn -8.1584 -1.5167 -1.3451
Zn 0.0000 0.0000 0.0000

(2)
20
Lattice="5.6045 -0.7227 -0.7500 0.7070 6.2399 0.1667 0.7070 -0.0647 6.2418" Properties=species:S:1:pos:R:3 comment="Cu2TeHO6 (PBE, relaxed)" sg="C2/c, No. 15" n_ef_per_ev_atom=0.41 final_energy_ev_per_fu=-51.0 pbc="T T T"
Cu 3.8001 4.7735 4.0225
Cu 0.4162 1.9710 1.1142
Cu 3.2184 0.6790 1.6360
Cu 6.6024 3.4814 4.5443
Te 2.1082 1.3682 4.4995
Te 4.9104 4.0843 1.1590
H 2.1082 4.5432 1.4400
H 4.9104 0.9093 4.2185
O 2.3053 5.7227 4.7040
O 1.9110 1.3252 0.1404
O 4.7133 -0.2702 0.9545
O 5.1075 4.1273 5.5181
O 3.2072 4.8930 1.8324
O 1.0091 4.1640 1.0759
O 3.8114 0.5595 3.8260
O 6.0094 1.2885 4.5826
O 2.4889 3.2992 4.4593
O 1.7274 1.4799 2.5713
O 4.5297 2.1533 1.1991
O 5.2911 3.9726 3.0872

(3)
9
Lattice="5.9381 -0.6206 0.9541 -4.3147 7.9052 -6.3867 1.3700 -3.0925 8.5910" Properties=species:S:1:pos:R:3 comment="Nd2Er5Sc2 (PBE, relaxed)" sg="P-1, No. 2" de_polymorph_ev_per_fu=0.00 n_ef_per_ev_atom=1.50 delta_e_f_ev_per_atom=0.043 pbc="T T T"
Nd -0.0048 2.9945 1.7753
Nd 2.9982 1.1976 1.3832
Er -0.8871 6.0344 -3.3107
Er 3.8805 -1.8423 6.4691
Er 0.4614 -0.0427 3.5013
Er 2.5320 4.2348 -0.3429
Er 0.0000 0.0000 0.0000
Sc -0.4193 3.0553 -1.7192
Sc 3.4127 1.1368 4.8777

(4)
14
Lattice="-1.4814 -1.6645 5.7762 -0.2994 -5.9212 -1.7830 6.0038 -0.7060 1.3363" Properties=species:S:1:pos:R:3 comment="PaMn3P3 (PBE, relaxed)" sg="Pm-3n, No. 223" n_ef_per_ev_atom=0.99 delta_e_f_ev_per_atom=-0.222 pbc="T T T"
P 2.9271 -1.8333 0.2224
P 2.7774 -4.7939 -0.6691
P 3.7622 -1.3617 3.8903
P -1.2607 -4.2090 3.4407
P 0.7603 -1.0087 3.2222
P -0.5200 -3.3767 0.5525
Pa 2.1115 -4.1458 2.6647
Pa 0.0000 0.0000 0.0000
Mn 2.6316 -0.7691 2.1122
Mn 1.3513 -3.1371 -0.5574
Mn -0.9652 -5.2732 1.5508
Mn 1.8909 -1.6013 5.0003
Mn 4.3532 -3.4901 0.1107
Mn -0.8155 -2.3125 2.4424